Entry from the Alexandria database: an optimized crystal structure of Re5Rh (GGA-PBE).

The space group is Cmmm (No. 65) and the conventional cell measures 3.899, 11.744 and 3.893 Å, with angles of 90.00, 90.00 and 90.00 degrees. The distinct sites, in fractional coordinates, are Re at (0.000, 0.000, 0.000), Re at (0.000, 0.166, 0.500), Re at (0.000, 0.335, 0.000) and Rh at (0.000, 0.500, 0.500).

The calculation puts the formation energy at 0.0135 eV/atom. The calculation puts the distance to the lowest polymorph of the same formula at 80 meV/atom. For the calculated density, the calculation gives 19.3 Mg/m³.